No. 1
A relaxed SrBi2As2 crystal, computed with PBE-GGA.

The space group is P4/mbm (No. 127) and the conventional cell measures 8.5654, 8.5654 and 4.0909 Å, with angles of 90.00, 90.00 and 90.00 degrees. The asymmetric unit holds Sr at (0.0000, 0.0000, 0.0000), Bi at (0.1641, 0.3359, 0.5000) and As at (0.1733, 0.6733, 0.0000).

The calculation puts the formation energy at -0.28 eV/atom. Its crystal system is tetragonal. The value obtained for the total magnetization is 0.000 μB/cell.


No. 2
A relaxed HgGe2Au crystal, computed with PBE-GGA.

The space group is R3m (No. 160, hexagonal axes) and the conventional cell measures 4.2161, 4.2161 and 18.2608 Å, with angles of 90.00, 90.00 and 120.00 degrees. The asymmetric unit holds Hg at (0.0000, 0.0000, 0.0000), Ge at (0.0000, 0.0000, 0.5671), Ge at (0.0000, 0.0000, 0.7833) and Au at (0.0000, 0.0000, 0.1731).

The calculation puts the formation energy at 0.14 eV/atom. Its crystal system is trigonal. The value obtained for the total magnetization is 0.000 μB/cell.


No. 3
A relaxed InGa2Mo2 crystal, computed with PBE-GGA.

The space group is P4/mbm (No. 127) and the conventional cell measures 6.9245, 6.9245 and 3.4508 Å, with angles of 90.00, 90.00 and 90.00 degrees. The asymmetric unit holds In at (0.0000, 0.0000, 0.0000), Ga at (0.1271, 0.3729, 0.0000) and Mo at (0.1697, 0.6697, 0.5000).

The calculation puts the formation energy at 0.18 eV/atom. Its crystal system is tetragonal. The value obtained for the total magnetization is 0.000 μB/cell.


No. 4
A relaxed SiAsRh crystal, computed with PBE-GGA.

The space group is P3m1 (No. 156) and the conventional cell measures 3.1650, 3.1650 and 5.3604 Å, with angles of 90.00, 90.00 and 120.00 degrees. The asymmetric unit holds Si at (0.0000, 0.0000, 0.0000), As at (0.6667, 0.3333, 0.3457) and Rh at (0.3333, 0.6667, 0.6972).

Its crystal system is trigonal. Its formation energy (no corrections) is -0.213 eV/atom. The value obtained for the total magnetization is 0.000 μB/cell.